No. 1
A geometry-optimized MnCd2Sb structure, computed with PBE.

Cell: 3.138 3.138 8.915 Å, 90.00 90.00 90.00°
Fractional positions:
Mn  0.000  0.000  0.000
Cd  0.500  0.500  0.209
Cd  0.500  0.500  0.791
Sb  0.000  0.000  0.500

Properties
**E_form (uncorrected)**: 23 kJ/mol of atoms

***

No. 2
A geometry-optimized MnCd2Sb structure, computed with PBE.

Cell: 6.449 6.449 6.449 Å, 100.88 100.88 128.50°
Fractional positions:
Mn  0.000  0.000  0.000
Mn  0.750  0.250  0.500
Cd  0.114  0.125  0.489
Cd  0.375  0.886  0.011
Cd  0.636  0.625  0.511
Cd  0.875  0.364  0.989
Sb  0.250  0.750  0.500
Sb  0.500  0.500  0.000

Properties
**E_form (uncorrected)**: 31 kJ/mol of atoms

***

No. 3
A geometry-optimized MnCd2Sb structure, computed with PBE.

Cell: 3.960 3.960 5.631 Å, 90.00 90.00 90.00°
Fractional positions:
Mn  0.000  0.000  0.000
Cd  0.500  0.500  0.242
Cd  0.500  0.500  0.758
Sb  0.000  0.000  0.500

Properties
**E_form (uncorrected)**: 23 kJ/mol of atoms

***

No. 4
A geometry-optimized MnCd4Sb structure, computed with PBE.

Cell: 5.807 5.807 5.807 Å, 60.00 60.00 60.00°
Fractional positions:
Mn  0.000  0.000  0.000
Cd  0.374  0.374  0.374
Cd  0.374  0.374  0.877
Cd  0.374  0.877  0.374
Cd  0.877  0.374  0.374
Sb  0.750  0.750  0.750

Properties
**E_form (uncorrected)**: 34 kJ/mol of atoms

***

No. 5
A geometry-optimized MnCd2Sb structure, computed with PBE.

Cell: 6.965 6.965 4.495 Å, 108.54 108.54 25.89°
Fractional positions:
Mn  0.000  0.000  0.000
Cd  0.304  0.304  0.803
Cd  0.696  0.696  0.197
Sb  0.500  0.500  0.500

Properties
**E_form (uncorrected)**: 16 kJ/mol of atoms

***

No. 6
A geometry-optimized MnCd2Sb structure, computed with PBE.

Cell: 9.721 9.721 9.721 Å, 19.44 19.44 19.44°
Fractional positions:
Mn  0.000  0.000  0.000
Cd  0.258  0.258  0.258
Cd  0.742  0.742  0.742
Sb  0.500  0.500  0.500

Properties
**E_form (uncorrected)**: 29 kJ/mol of atoms

***

No. 7
A geometry-optimized MnCd3Sb structure, computed with PBE.

Cell: 5.150 5.150 5.150 Å, 90.00 90.00 90.00°
Fractional positions:
Mn  0.000  0.000  0.000
Cd  0.000  0.000  0.500
Cd  0.000  0.500  0.000
Cd  0.500  0.000  0.000
Sb  0.500  0.500  0.500

Properties
**E_form (uncorrected)**: 59 kJ/mol of atoms
**Distance to the lowest polymorph of the same formula**: 0.0 meV per atom

***

No. 8
A geometry-optimized MnCd2Sb structure, computed with PBE.

Cell: 5.010 5.010 5.010 Å, 60.00 60.00 60.00°
Fractional positions:
Mn  0.000  0.000  0.000
Cd  0.250  0.250  0.250
Cd  0.500  0.500  0.500
Sb  0.750  0.750  0.750

Properties
**E_form (uncorrected)**: 31 kJ/mol of atoms

***

No. 9
A geometry-optimized MnCd2Sb structure, computed with PBE.

Cell: 3.167 5.673 4.932 Å, 90.00 93.80 90.00°
Fractional positions:
Mn  0.000  0.000  0.000
Cd  0.258  0.500  0.243
Cd  0.742  0.500  0.757
Sb  0.500  0.000  0.500

Properties
**E_form (uncorrected)**: 23 kJ/mol of atoms

***

No. 10
A geometry-optimized MnCd2Sb structure, computed with PBE.

Cell: 3.072 3.228 8.884 Å, 90.00 99.45 90.00°
Fractional positions:
Mn  0.000  0.000  0.000
Cd  0.396  0.500  0.785
Cd  0.773  0.000  0.531
Sb  0.601  0.500  0.203

Properties
**E_form (uncorrected)**: 16 kJ/mol of atoms

***

No. 11
A geometry-optimized MnCd2Sb structure, computed with PBE.

Cell: 5.391 5.391 3.365 Å, 90.00 90.00 115.92°
Fractional positions:
Mn  0.000  0.000  0.000
Cd  0.000  0.500  0.500
Cd  0.500  0.000  0.500
Sb  0.500  0.500  0.000

Properties
**E_form (uncorrected)**: 23 kJ/mol of atoms

***

No. 12
A geometry-optimized MnCd2Sb structure, computed with PBE.

Cell: 4.936 4.936 5.973 Å, 100.60 100.60 38.54°
Fractional positions:
Mn  0.000  0.000  0.000
Cd  0.258  0.258  0.775
Cd  0.506  0.506  0.552
Sb  0.735  0.735  0.225

Properties
**E_form (uncorrected)**: 20 kJ/mol of atoms

***

Question: What is the E_form (uncorrected) in the ninth record?
Answer: 23 kJ/mol of atoms

***

Question: Which value of E_form (uncorrected) does entry 9 give?
Answer: 23 kJ/mol of atoms

***

What did the fourth record say?
A geometry-optimized MnCd4Sb structure, computed with PBE.

Cell: 5.807 5.807 5.807 Å, 60.00 60.00 60.00°
Fractional positions:
Mn  0.000  0.000  0.000
Cd  0.374  0.374  0.374
Cd  0.374  0.374  0.877
Cd  0.374  0.877  0.374
Cd  0.877  0.374  0.374
Sb  0.750  0.750  0.750

Properties
**E_form (uncorrected)**: 34 kJ/mol of atoms

***

Question: Which of these has the highest E_form (uncorrected)?
Answer: MnCd3Sb